[1]
# Mg5InAg

A relaxed structure of Mg5InAg (GGA-PBE, the Alexandria database).

## Properties
The energy above the most stable polymorph in this dataset comes out at 0.85 eV per formula unit. As for the density: 3.4 g/cm³.

Cell lengths 5.909, 5.909, 10.411 Å; angles 104.02, 104.02, 92.68 degrees
Fractional coordinates of all 14 atoms:
Mg 0.159 0.841 0.750
Mg 0.254 0.589 0.484
Mg 0.299 0.326 0.709
Mg 0.326 0.299 0.209
Mg 0.411 0.746 0.016
Mg 0.589 0.254 0.984
Mg 0.674 0.701 0.791
Mg 0.701 0.674 0.291
Mg 0.746 0.411 0.516
Mg 0.841 0.159 0.250
In 0.189 0.811 0.250
In 0.811 0.189 0.750
Ag 0.000 0.000 0.000
Ag 0.000 0.000 0.500

***

[2]
# MgInAg2

A relaxed structure of MgInAg2 (GGA-PBE, the Alexandria database).

## Properties
The energy above the most stable polymorph in this dataset comes out at 0.06 eV per formula unit. As for the density: 7.5 g/cm³.

Cell lengths 3.351, 3.593, 6.524 Å; angles 90.00, 90.70, 90.00 degrees
Fractional coordinates of all 4 atoms:
Mg 0.000 0.000 0.000
In 0.000 0.000 0.500
Ag 0.495 0.500 0.768
Ag 0.505 0.500 0.232

***

[3]
# Mg5InAg4

A relaxed structure of Mg5InAg4 (GGA-PBE, the Alexandria database).

## Properties
The raw total energy comes out at -24.16 eV for the cell shown. As for the density: 5.7 g/cm³.

Cell lengths 3.449, 3.449, 16.274 Å; angles 90.00, 90.00, 90.00 degrees
Fractional coordinates of all 10 atoms:
Mg 0.000 0.000 0.000
Mg 0.000 0.000 0.194
Mg 0.000 0.000 0.387
Mg 0.000 0.000 0.613
Mg 0.000 0.000 0.806
In 0.500 0.500 0.500
Ag 0.500 0.500 0.098
Ag 0.500 0.500 0.292
Ag 0.500 0.500 0.708
Ag 0.500 0.500 0.902

***

[4]
# Mg6InAg12

A relaxed structure of Mg6InAg12 (GGA-PBE, the Alexandria database).

## Properties
The raw total energy comes out at -48.29 eV for the cell shown. As for the density: 7.1 g/cm³.

Cell lengths 7.144, 7.144, 7.144 Å; angles 91.23, 91.23, 91.23 degrees
Fractional coordinates of all 19 atoms:
Mg 0.214 0.782 0.615
Mg 0.218 0.385 0.786
Mg 0.385 0.786 0.218
Mg 0.615 0.214 0.782
Mg 0.782 0.615 0.214
Mg 0.786 0.218 0.385
In 0.500 0.500 0.500
Ag 0.031 0.937 0.296
Ag 0.063 0.704 0.969
Ag 0.129 0.473 0.339
Ag 0.296 0.031 0.937
Ag 0.339 0.129 0.473
Ag 0.473 0.339 0.129
Ag 0.527 0.661 0.871
Ag 0.661 0.871 0.527
Ag 0.704 0.969 0.063
Ag 0.871 0.527 0.661
Ag 0.937 0.296 0.031
Ag 0.969 0.063 0.704

***

[5]
# Mg3InAg

A relaxed structure of Mg3InAg (GGA-PBE, the Alexandria database).

## Properties
The energy above the most stable polymorph in this dataset comes out at 1.11 eV per formula unit. As for the density: 3.6 g/cm³.

Cell lengths 5.139, 5.139, 5.139 Å; angles 90.00, 90.00, 90.00 degrees
Fractional coordinates of all 5 atoms:
Mg 0.000 0.000 0.500
Mg 0.000 0.500 0.000
Mg 0.500 0.000 0.000
In 0.500 0.500 0.500
Ag 0.000 0.000 0.000

***

[6]
# Mg6In2Ag

A relaxed structure of Mg6In2Ag (GGA-PBE, the Alexandria database).

## Properties
The energy above the most stable polymorph in this dataset comes out at 0.39 eV per formula unit. As for the density: 4.1 g/cm³.

Cell lengths 5.413, 5.413, 9.445 Å; angles 105.74, 105.74, 48.44 degrees
Fractional coordinates of all 9 atoms:
Mg 0.003 0.003 0.177
Mg 0.335 0.335 0.602
Mg 0.336 0.336 0.946
Mg 0.664 0.664 0.054
Mg 0.665 0.665 0.398
Mg 0.997 0.997 0.823
In 0.332 0.332 0.276
In 0.668 0.668 0.724
Ag 0.000 0.000 0.500

***

[7]
# MgIn14Ag

A relaxed structure of MgIn14Ag (GGA-PBE, the Alexandria database).

## Properties
The raw total energy comes out at -42.52 eV for the cell shown. As for the density: 7.0 g/cm³.

Cell lengths 6.964, 6.964, 8.564 Å; angles 90.00, 90.00, 90.00 degrees
Fractional coordinates of all 16 atoms:
Mg 0.000 0.000 0.000
In 0.000 0.000 0.500
In 0.000 0.500 0.000
In 0.000 0.500 0.500
In 0.255 0.255 0.239
In 0.255 0.255 0.761
In 0.255 0.745 0.239
In 0.255 0.745 0.761
In 0.500 0.000 0.000
In 0.500 0.000 0.500
In 0.500 0.500 0.500
In 0.745 0.255 0.239
In 0.745 0.255 0.761
In 0.745 0.745 0.239
In 0.745 0.745 0.761
Ag 0.500 0.500 0.000

***

[8]
# Mg6In3Ag

A relaxed structure of Mg6In3Ag (GGA-PBE, the Alexandria database).

## Properties
The energy above the most stable polymorph in this dataset comes out at 0.00 eV per formula unit. As for the density: 4.4 g/cm³.

Cell lengths 9.768, 4.517, 10.138 Å; angles 90.00, 93.50, 90.00 degrees
Fractional coordinates of all 20 atoms:
Mg 0.051 0.250 0.391
Mg 0.127 0.750 0.176
Mg 0.149 0.250 0.696
Mg 0.218 0.250 0.993
Mg 0.342 0.750 0.804
Mg 0.449 0.250 0.600
Mg 0.551 0.750 0.400
Mg 0.658 0.250 0.196
Mg 0.782 0.750 0.007
Mg 0.851 0.750 0.304
Mg 0.873 0.250 0.824
Mg 0.949 0.750 0.609
In 0.243 0.750 0.499
In 0.346 0.250 0.290
In 0.451 0.750 0.098
In 0.549 0.250 0.902
In 0.654 0.750 0.710
In 0.757 0.250 0.501
Ag 0.058 0.750 0.882
Ag 0.942 0.250 0.118

***

[9]
# Mg12In3Ag

A relaxed structure of Mg12In3Ag (GGA-PBE, the Alexandria database).

## Properties
The raw total energy comes out at -31.51 eV for the cell shown. As for the density: 3.5 g/cm³.

Cell lengths 4.488, 4.488, 17.571 Å; angles 90.00, 90.00, 90.00 degrees
Fractional coordinates of all 16 atoms:
Mg 0.000 0.000 0.000
Mg 0.000 0.000 0.244
Mg 0.000 0.000 0.500
Mg 0.000 0.000 0.756
Mg 0.000 0.500 0.116
Mg 0.000 0.500 0.372
Mg 0.000 0.500 0.628
Mg 0.000 0.500 0.884
Mg 0.500 0.000 0.116
Mg 0.500 0.000 0.372
Mg 0.500 0.000 0.628
Mg 0.500 0.000 0.884
In 0.500 0.500 0.244
In 0.500 0.500 0.500
In 0.500 0.500 0.756
Ag 0.500 0.500 0.000

***

[10]
# Mg3InAg2

A relaxed structure of Mg3InAg2 (GGA-PBE, the Alexandria database).

## Properties
The raw total energy comes out at -14.33 eV for the cell shown. As for the density: 5.6 g/cm³.

Cell lengths 3.444, 3.444, 10.128 Å; angles 90.00, 90.00, 90.00 degrees
Fractional coordinates of all 6 atoms:
Mg 0.000 0.000 0.000
Mg 0.000 0.000 0.312
Mg 0.000 0.000 0.688
In 0.500 0.500 0.500
Ag 0.500 0.500 0.157
Ag 0.500 0.500 0.843